No. 1
This record from Alexandria describes crystalline AlMoRh2 at its relaxed geometry. The functional is GGA-PBE.

Computed properties:
- Fermi-level density of states: 3.50 states/eV per cell
- DFT total energy: -31.1 eV for the cell shown
- Calculated volume: 58 Å³ per cell
- Formation energy from the elements: -0.46 eV/atom

```
data_AlMoRh2
_chemical_formula_sum 'Al1 Mo1 Rh2'
_cell_length_a 2.8055
_cell_length_b 3.7302
_cell_length_c 5.5549
_cell_angle_alpha 90.00
_cell_angle_beta 90.00
_cell_angle_gamma 90.00
_space_group_name_H-M_alt 'P m m m'
_space_group_IT_number 47
loop_
_space_group_symop_operation_xyz
'x,y,z'
'-x,-y,-z'
'-x,-y,z'
'x,y,-z'
'x,-y,-z'
'-x,y,z'
'-x,y,-z'
'x,-y,z'
loop_
_atom_site_label
_atom_site_type_symbol
_atom_site_fract_x
_atom_site_fract_y
_atom_site_fract_z
Al1 Al 0.0000 0.0000 0.0000
Mo1 Mo 0.0000 0.0000 0.5000
Rh1 Rh 0.5000 0.5000 0.2485
```

No. 2
This record from Alexandria describes crystalline AlMoRh2 at its relaxed geometry. The functional is GGA-PBE.

Computed properties:
- Fermi-level density of states: 2.31 states/eV per cell
- DFT total energy: -30.7 eV for the cell shown
- Calculated volume: 58 Å³ per cell
- Formation energy from the elements: -0.36 eV/atom

```
data_AlMoRh2
_chemical_formula_sum 'Al1 Mo1 Rh2'
_cell_length_a 2.8769
_cell_length_b 2.8769
_cell_length_c 7.0115
_cell_angle_alpha 90.00
_cell_angle_beta 90.00
_cell_angle_gamma 90.00
_space_group_name_H-M_alt 'P 4 m m'
_space_group_IT_number 99
loop_
_space_group_symop_operation_xyz
'x,y,z'
'-y,x,z'
'-x,-y,z'
'y,-x,z'
'-x,y,z'
'y,x,z'
'x,-y,z'
'-y,-x,z'
loop_
_atom_site_label
_atom_site_type_symbol
_atom_site_fract_x
_atom_site_fract_y
_atom_site_fract_z
Al1 Al 0.0000 0.0000 0.0000
Mo1 Mo 0.5000 0.5000 0.2640
Rh1 Rh 0.0000 0.0000 0.5114
Rh2 Rh 0.5000 0.5000 0.7923
```

No. 3
This record from Alexandria describes crystalline AlMoRh2 at its relaxed geometry. The functional is GGA-PBE.

Computed properties:
- Fermi-level density of states: 5.81 states/eV per cell
- DFT total energy: -61.5 eV for the cell shown
- Calculated volume: 116 Å³ per cell
- Formation energy from the elements: -0.36 eV/atom

```
data_AlMoRh2
_chemical_formula_sum 'Al2 Mo2 Rh4'
_cell_length_a 2.9066
_cell_length_b 4.4377
_cell_length_c 9.0134
_cell_angle_alpha 90.00
_cell_angle_beta 90.00
_cell_angle_gamma 90.00
_space_group_name_H-M_alt 'I m m 2'
_space_group_IT_number 44
loop_
_space_group_symop_operation_xyz
'x,y,z'
'-x,-y,z'
'-x,y,z'
'x,-y,z'
'x+1/2,y+1/2,z+1/2'
'-x+1/2,-y+1/2,z+1/2'
'-x+1/2,y+1/2,z+1/2'
'x+1/2,-y+1/2,z+1/2'
loop_
_atom_site_label
_atom_site_type_symbol
_atom_site_fract_x
_atom_site_fract_y
_atom_site_fract_z
Al1 Al 0.0000 0.0000 0.0000
Mo1 Mo 0.0000 0.5000 0.7459
Rh1 Rh 0.0000 0.0000 0.5026
Rh2 Rh 0.0000 0.5000 0.2787
```